VASP calculation (GGA+U) on an optimized crystal structure of UV3O10.

## Properties
The final energy comes out at -8.145 eV/atom. For the calculated density, the calculation gives 5.172 g cm⁻³.

Cell: 10.257 8.972 7.034 Å, 78.69 59.06 42.25°
Positions (direct):
U (0.125, 0.125, 0.125)
U (0.875, 0.875, 0.875)
V (0.151, 0.151, 0.599)
V (0.375, 0.375, 0.375)
V (0.401, 0.401, 0.849)
V (0.599, 0.599, 0.151)
V (0.625, 0.625, 0.625)
V (0.849, 0.849, 0.401)
O (0.016, 0.016, 0.234)
O (0.069, 0.678, 0.474)
O (0.086, 0.664, 0.086)
O (0.234, 0.234, 0.016)
O (0.253, 0.253, 0.497)
O (0.279, 0.474, 0.678)
O (0.322, 0.931, 0.721)
O (0.336, 0.914, 0.336)
O (0.474, 0.279, 0.069)
O (0.497, 0.497, 0.253)
O (0.503, 0.503, 0.747)
O (0.526, 0.721, 0.931)
O (0.664, 0.086, 0.664)
O (0.678, 0.069, 0.279)
O (0.721, 0.526, 0.322)
O (0.747, 0.747, 0.503)
O (0.766, 0.766, 0.984)
O (0.914, 0.336, 0.914)
O (0.931, 0.322, 0.526)
O (0.984, 0.984, 0.766)